(1)
The following is a DFT calculation (GGA-PBE) of SrSi2Sb after structural relaxation.

a b c (Å): 5.366 5.366 5.630
angles (deg): 108.14 108.14 40.86
Sites, in units of the cell vectors:
Sr1 0.000 0.000 0.000
Si1 0.225 0.225 0.685
Si2 0.546 0.546 0.525
Sb1 0.787 0.787 0.372

Values from the calculation:
Space group ... Cm, No. 8

(2)
The following is a DFT calculation (GGA-PBE) of Y2BiPd2 after structural relaxation.

a b c (Å): 7.963 7.963 3.656
angles (deg): 90.00 90.00 90.00
Sites, in units of the cell vectors:
Y1 0.170 0.330 0.000
Y2 0.330 0.830 0.000
Y3 0.670 0.170 0.000
Y4 0.830 0.670 0.000
Bi1 0.000 0.000 0.500
Bi2 0.500 0.500 0.500
Pd1 0.124 0.624 0.500
Pd2 0.376 0.124 0.500
Pd3 0.624 0.876 0.500
Pd4 0.876 0.376 0.500

Values from the calculation:
ΔE_f ... -0.885 eV per atom
Offset from the most stable computed form ... 0.0 meV per atom
Space group ... P4/mbm, No. 127

(3)
The following is a DFT calculation (GGA-PBE) of Ho7MgCd4 after structural relaxation.

a b c (Å): 7.833 7.833 9.419
angles (deg): 119.10 119.10 42.79
Sites, in units of the cell vectors:
Ho1 0.000 0.000 0.000
Ho2 0.244 0.244 0.706
Ho3 0.304 0.304 0.121
Ho4 0.425 0.425 0.582
Ho5 0.575 0.575 0.418
Ho6 0.696 0.696 0.879
Ho7 0.756 0.756 0.294
Mg1 0.500 0.500 0.000
Cd1 0.037 0.037 0.695
Cd2 0.182 0.182 0.343
Cd3 0.818 0.818 0.657
Cd4 0.963 0.963 0.305

Values from the calculation:
ΔE_f ... -0.017 eV per atom
Space group ... C2/m, No. 12

(4)
The following is a DFT calculation (GGA-PBE) of BaZnCuGe2 after structural relaxation.

a b c (Å): 6.210 6.210 6.210
angles (deg): 137.83 137.83 61.17
Sites, in units of the cell vectors:
Ba1 0.000 0.000 0.000
Zn1 0.750 0.250 0.500
Cu1 0.250 0.750 0.500
Ge1 0.374 0.374 0.000
Ge2 0.626 0.626 0.000

Values from the calculation:
ΔE_f ... -0.352 eV per atom
Space group ... I-4m2, No. 119

no.,spin magnetization (μB per cell),DFT total energy (eV for the cell shown)
1,0.00,-17.1
2,0.00,-63.2
3,0.00,-37.5
4,0.00,-18.3